Below is an optimized crystal structure of Rb2ScWO6, with properties calculated at the PBE with a Hubbard U level.

Geometry as POSCAR:
```
Rb2ScWO6
1.0
-2.875 4.693 0.715
-5.123 -3.431 1.917
4.348 2.004 4.332
O Sc W Rb
6 1 1 2
direct
0.224 0.270 0.135 O
0.776 0.730 0.865 O
0.224 0.865 0.135 O
0.776 0.135 0.270 O
0.224 0.865 0.730 O
0.776 0.135 0.865 O
0.500 0.000 0.000 Sc
0.000 0.000 0.000 W
0.836 0.667 0.333 Rb
0.164 0.333 0.667 Rb
```

Output
E: -6.584 eV per atom
Spin magnetization: 1.060 μB per formula unit